[1]
LuHg2Sb PBE relaxed; ΔE_f (raw) = -36 kJ per mole of atoms
1.0
-4.8576 0.0258 -1.4883
1.2683 -0.7055 -4.1518
-0.2277 -4.3412 0.6681
Sb Lu Hg
1 1 2
Direct
0.5000 0.5000 0.5000
0.5000 0.0000 0.0000
0.0000 0.0000 0.5000
0.0000 0.5000 0.0000


[2]
Y6Tm12Al PBE relaxed; energy of formation = 2.1 eV per formula unit
1.0
8.3481 0.4146 0.4967
-0.8558 8.3145 0.4967
-0.8558 -0.9971 8.2694
Y Tm Al
6 12 1
Direct
0.7266 0.8843 0.2580
0.7420 0.2734 0.1157
0.1157 0.7420 0.2734
0.2734 0.1157 0.7420
0.2580 0.7266 0.8843
0.8843 0.2580 0.7266
0.7909 0.5283 0.4665
0.4665 0.7909 0.5283
0.5283 0.4665 0.7909
0.2091 0.4717 0.5335
0.5335 0.2091 0.4717
0.4717 0.5335 0.2091
0.0563 0.1386 0.3677
0.8614 0.6323 0.9437
0.6323 0.9437 0.8614
0.9437 0.8614 0.6323
0.1386 0.3677 0.0563
0.3677 0.0563 0.1386
0.0000 0.0000 0.0000


[3]
In2TcRh PBE relaxed; energy of formation = 0.9 eV per formula unit; excess energy over the best structure of this formula in the dataset = 22.1 kJ per mole of atoms
1.0
-0.6466 -0.5101 4.3205
2.8922 -0.1255 0.4180
0.6325 5.4742 0.7410
In Rh Tc
2 1 1
Direct
0.0000 0.0403 0.0010
0.0000 0.4597 0.4990
0.5000 0.2500 0.2500
0.5000 0.7500 0.7500


[4]
YBeAu PBE relaxed; energy of formation = -1.6 eV per formula unit; excess energy over the best structure of this formula in the dataset = 0.0 kJ per mole of atoms
1.0
4.2004 0.0000 0.0000
-2.1002 3.6377 0.0000
0.0000 0.0000 3.8041
Y Be Au
1 1 1
Direct
0.3333 0.6667 0.6665
0.6667 0.3333 0.1669
0.0000 0.0000 0.1665


[5]
SrPd12Pb4 PBE relaxed; energy of formation = 1.4 eV per formula unit
1.0
7.9027 0.0000 0.0000
-2.6342 7.4507 0.0000
-2.6342 -3.7254 6.4525
Sr Pd Pb
1 12 4
Direct
0.0000 0.0000 0.0000
0.8529 0.3563 0.2092
0.3563 0.5034 0.1471
0.7908 0.1471 0.6437
0.3563 0.2092 0.8529
0.2092 0.8529 0.3563
0.6437 0.4966 0.8529
0.5034 0.1471 0.3563
0.4966 0.8529 0.6437
0.6437 0.7908 0.1471
0.8529 0.6437 0.4966
0.1471 0.3563 0.5034
0.1471 0.6437 0.7908
0.0000 0.5000 0.0000
0.5000 0.0000 0.0000
0.5000 0.5000 0.5000
0.0000 0.0000 0.5000


[6]
Nb3PdS PBE relaxed; ΔE_f (raw) = 15 kJ per mole of atoms; excess energy over the best structure of this formula in the dataset = 51.6 kJ per mole of atoms
1.0
4.5534 0.0000 0.0000
0.0000 4.5534 0.0000
0.0000 0.0000 4.5534
Nb S Pd
3 1 1
Direct
0.0000 0.5000 0.0000
0.0000 0.0000 0.5000
0.5000 0.0000 0.0000
0.0000 0.0000 0.0000
0.5000 0.5000 0.5000


[7]
Ho2ErSc3P6 PBE relaxed; energy of formation = -18.5 eV per formula unit
1.0
-0.6199 6.4568 -1.7148
-1.6019 -1.9919 6.2034
6.6666 -0.4200 0.3787
Ho Er Sc P
2 1 3 6
Direct
0.3334 0.6666 0.0000
0.6666 0.3334 0.0000
0.0000 0.0000 0.0000
0.1669 0.8331 0.5000
0.8331 0.1669 0.5000
0.5000 0.5000 0.5000
0.9122 0.5795 0.7364
0.7553 0.7553 0.2638
0.0878 0.4205 0.2636
0.5795 0.9122 0.7364
0.2447 0.2447 0.7362
0.4205 0.0878 0.2636


[8]
Tl2PbCl PBE relaxed; ΔE_f (raw) = -30 kJ per mole of atoms; excess energy over the best structure of this formula in the dataset = 3.9 kJ per mole of atoms
1.0
-0.0370 -3.0482 1.9476
2.4831 -1.4377 -2.2030
6.6918 3.3438 5.3602
Cl Pb Tl
1 1 2
Direct
0.5000 0.5000 0.2500
0.5000 0.5000 0.7500
0.0000 0.0000 0.0254
0.0000 0.0000 0.4746